[1]
First-principles (PBE) data for CaZn2Au after structural relaxation, as listed in Alexandria.

## Properties
Formation enthalpy at 0 K   -375.4 meV per atom

```
data_CaZn2Au
_chemical_formula_sum 'Ca3 Zn6 Au3'
_space_group_name_H-M_alt 'R -3 m'
_space_group_IT_number 166
_space_group_name_Hall '-R 3 2"'
_cell_length_a 4.4604
_cell_length_b 4.4604
_cell_length_c 14.7755
_cell_angle_alpha 90.00
_cell_angle_beta 90.00
_cell_angle_gamma 120.00
loop_
_atom_site_label
_atom_site_fract_x
_atom_site_fract_y
_atom_site_fract_z
Ca1 0.0000 0.0000 0.0000
Zn1 0.0000 0.0000 0.2092
Au1 0.0000 0.0000 0.5000
```

[2]
First-principles (PBE) data for AcGa3Pt3 after structural relaxation, as listed in Alexandria.

## Properties
E above lowest polymorph   1.02 eV/f.u.
Formation enthalpy at 0 K   -610.3 meV per atom

```
data_AcGa3Pt3
_chemical_formula_sum 'Ac2 Ga6 Pt6'
_space_group_name_H-M_alt 'P m -3 n'
_space_group_IT_number 223
_space_group_name_Hall '-P 4n 2 3'
_cell_length_a 6.896
_cell_length_b 6.896
_cell_length_c 6.896
_cell_angle_alpha 90.00
_cell_angle_beta 90.00
_cell_angle_gamma 90.00
loop_
_atom_site_label
_atom_site_fract_x
_atom_site_fract_y
_atom_site_fract_z
Ac1 0.000 0.000 0.000
Ga1 0.000 0.250 0.500
Pt1 0.000 0.500 0.250
```

[3]
First-principles (PBE) data for ReSbTe after structural relaxation, as listed in Alexandria.

## Properties
E_form (uncorrected)   18.608 kcal/mol of atoms
E above lowest polymorph   2.13 eV/f.u.

```
data_ReSbTe
_chemical_formula_sum 'Re1 Sb1 Te1'
_space_group_name_H-M_alt 'P 3 m 1'
_space_group_IT_number 156
_space_group_name_Hall 'P 3 -2"'
_cell_length_a 4.6755
_cell_length_b 4.6755
_cell_length_c 3.4184
_cell_angle_alpha 90.00
_cell_angle_beta 90.00
_cell_angle_gamma 120.00
loop_
_atom_site_label
_atom_site_fract_x
_atom_site_fract_y
_atom_site_fract_z
Re1 0.0000 0.0000 0.0000
Sb1 0.6667 0.3333 0.5064
Te1 0.3333 0.6667 0.0037
```

[4]
First-principles (PBE) data for PrYNi2Ge2 after structural relaxation, as listed in Alexandria.

## Properties
Formation enthalpy at 0 K   -724.9 meV per atom

```
data_PrYNi2Ge2
_chemical_formula_sum 'Pr1 Y1 Ni2 Ge2'
_space_group_name_H-M_alt 'P -3 m 1'
_space_group_IT_number 164
_space_group_name_Hall '-P 3 2"'
_cell_length_a 4.2356
_cell_length_b 4.2356
_cell_length_c 7.5274
_cell_angle_alpha 90.00
_cell_angle_beta 90.00
_cell_angle_gamma 120.00
loop_
_atom_site_label
_atom_site_fract_x
_atom_site_fract_y
_atom_site_fract_z
Pr1 0.0000 0.0000 0.0000
Y1 0.0000 0.0000 0.5000
Ni1 0.3333 0.6667 0.7208
Ge1 0.3333 0.6667 0.2662
```

[5]
First-principles (PBE) data for Ta2FeRu after structural relaxation, as listed in Alexandria.

## Properties
Formation enthalpy at 0 K   92.1 meV per atom

```
data_Ta2FeRu
_chemical_formula_sum 'Ta6 Fe3 Ru3'
_space_group_name_H-M_alt 'R -3 m'
_space_group_IT_number 166
_space_group_name_Hall '-R 3 2"'
_cell_length_a 2.9997
_cell_length_b 2.9997
_cell_length_c 24.3237
_cell_angle_alpha 90.00
_cell_angle_beta 90.00
_cell_angle_gamma 120.00
loop_
_atom_site_label
_atom_site_fract_x
_atom_site_fract_y
_atom_site_fract_z
Ta1 0.0000 0.0000 0.2473
Fe1 0.0000 0.0000 0.5000
Ru1 0.0000 0.0000 0.0000
```

[6]
First-principles (PBE) data for PmThRu after structural relaxation, as listed in Alexandria.

## Properties
E above lowest polymorph   0.22 eV/f.u.
Formation enthalpy at 0 K   -202.6 meV per atom

```
data_PmThRu
_chemical_formula_sum 'Pm2 Th2 Ru2'
_space_group_name_H-M_alt 'I 4 m m'
_space_group_IT_number 107
_space_group_name_Hall 'I 4 -2'
_cell_length_a 3.609
_cell_length_b 3.609
_cell_length_c 11.636
_cell_angle_alpha 90.00
_cell_angle_beta 90.00
_cell_angle_gamma 90.00
loop_
_atom_site_label
_atom_site_fract_x
_atom_site_fract_y
_atom_site_fract_z
Pm1 0.000 0.000 0.000
Th1 0.000 0.000 0.290
Ru1 0.000 0.000 0.674
```

Looking at E for the records above, in order, we have -0.0857, -0.1868, -0.2118, -0.2229, -0.3774, -0.2702 Ha/atom.
Looking at total magnetic moment for the records above, in order, we have 0.000, 0.000, 0.000, 0.000, 3.343, 0.000 Bohr magnetons per cell.